Density functional theory data (PBE) for a geometry-optimized TiSiSeN2 structure.

Lattice parameters (Å, degrees): 3.5516 3.5516 5.2724 90.00 90.00 90.00
With the nearest neighbours (Å) after each atom.
Atoms (fractional coordinates):
Ti 0.0000 0.0000 0.0000  4 Se 2.51
Si 0.5000 0.5000 0.5000  4 N 1.78
Se 0.5000 0.5000 0.0000  4 Ti 2.51, 2 Si 2.64
N 0.0000 0.5000 0.5000  2 Si 1.78
N 0.5000 0.0000 0.5000  2 Si 1.78

Calculated values
* total magnetic moment: 0.0 Bohr magnetons per cell
* E above lowest polymorph: 0.0 kJ/mol of atoms
* N(E_F): 0.61 states/eV per atom
* final energy: -6.454 eV/atom
* formation energy without anion corrections: 23 kJ per mole of atoms

Density functional theory data (PBE) for a geometry-optimized KCa2Os structure.

Lattice parameters (Å, degrees): 9.2930 9.2930 9.2930 159.45 149.35 37.19
With the nearest neighbours (Å) after each atom.
Atoms (fractional coordinates):
K 0.0000 0.0000 0.0000  2 K 3.32, 2 Os 3.50
Ca 0.3070 0.3070 0.0000  2 Os 2.86
Ca 0.6651 0.1651 0.5000  4 Os 2.97, 2 Ca 3.32
Os 0.1750 0.6750 0.5000  6 Ca 2.86-2.97

Calculated values
* formation enthalpy at 0 K: 576 meV per atom
* total magnetic moment: 0.4 Bohr magnetons per cell
* E above lowest polymorph: 15.9 kJ/mol of atoms
* N(E_F): 0.91 states/eV per atom
* final energy: -3.507 eV/atom

Density functional theory data (PBE) for a geometry-optimized Sm3Dy6Er structure.

Lattice parameters (Å, degrees): 10.9386 10.9386 6.2794 90.00 90.00 119.88
With the nearest neighbours (Å) after each atom.
Atoms (fractional coordinates):
Sm 0.1109 0.8891 0.5000  7 Dy 3.41-3.75, 1 Er 3.59, 2 Sm 3.66
Sm 0.2162 0.4398 0.8912  1 Er 3.26, 6 Dy 3.29-3.56
Sm 0.4398 0.2162 0.3912  1 Er 3.26, 6 Dy 3.29-3.56
Sm 0.5602 0.7838 0.8912  1 Er 3.26, 6 Dy 3.29-3.56
Sm 0.7838 0.5602 0.3912  1 Er 3.26, 6 Dy 3.29-3.56
Sm 0.8891 0.1109 0.0000  7 Dy 3.41-3.75, 1 Er 3.59, 2 Sm 3.66
Dy 0.0323 0.4521 0.2967  5 Dy 3.19-3.49, 2 Sm 3.29-3.51, 2 Er 3.29-3.47
Dy 0.1197 0.2120 0.4746  4 Sm 3.40-3.70, 5 Dy 3.40-3.78
Dy 0.2120 0.1197 0.9746  4 Sm 3.40-3.70, 5 Dy 3.40-3.78
Dy 0.2237 0.7763 0.0760  4 Dy 3.19-3.39, 2 Er 3.38-3.52, 1 Sm 3.41
Dy 0.4521 0.0323 0.7967  5 Dy 3.19-3.49, 2 Sm 3.29-3.51, 2 Er 3.29-3.47
Dy 0.4570 0.5430 0.3244  1 Er 3.35, 4 Sm 3.51-3.56, 2 Dy 3.54
Dy 0.5430 0.4570 0.8244  1 Er 3.35, 4 Sm 3.51-3.56, 2 Dy 3.54
Dy 0.5479 0.9677 0.2967  5 Dy 3.19-3.49, 2 Sm 3.29-3.51, 2 Er 3.29-3.47
Dy 0.7763 0.2237 0.5760  4 Dy 3.19-3.39, 2 Er 3.38-3.52, 1 Sm 3.41
Dy 0.7880 0.8803 0.4746  4 Sm 3.40-3.70, 5 Dy 3.40-3.78
Dy 0.8803 0.7880 0.9746  4 Sm 3.40-3.70, 5 Dy 3.40-3.78
Dy 0.9677 0.5479 0.7967  5 Dy 3.19-3.49, 2 Sm 3.29-3.51, 2 Er 3.29-3.47
Er 0.2991 0.7009 0.5641  3 Sm 3.26-3.59, 7 Dy 3.29-3.52
Er 0.7009 0.2991 0.0641  3 Sm 3.26-3.59, 7 Dy 3.29-3.52

Calculated values
* formation enthalpy at 0 K: 149 meV per atom
* total magnetic moment: 0.0 Bohr magnetons per cell
* E above lowest polymorph: 0.0 kJ/mol of atoms
* N(E_F): 1.40 states/eV per atom
* final energy: -4.484 eV/atom

Q: Number 2 is which compound?
A: KCa2Os